# MoPdPbCl2 (PBE, optimized geometry)
data_MoPdPbCl2
_chemical_formula_sum 'Mo1 Pd1 Pb1 Cl2'
_cell_length_a 4.539
_cell_length_b 6.034
_cell_length_c 4.539
_cell_angle_alpha 90.00
_cell_angle_beta 90.00
_cell_angle_gamma 90.00
_symmetry_space_group_name_H-M 'P 1'
_symmetry_Int_Tables_number 1
loop_
_symmetry_equiv_pos_as_xyz
'x,y,z'
loop_
_atom_site_label
_atom_site_type_symbol
_atom_site_fract_x
_atom_site_fract_y
_atom_site_fract_z
_atom_site_occupancy
Pb1 Pb 0.000 0.500 0.000 1
Mo1 Mo 0.000 0.000 0.000 1
Pd1 Pd 0.500 0.500 0.500 1
Cl1 Cl 0.000 0.000 0.500 1
Cl2 Cl 0.500 0.000 0.000 1
# Energy in eV/atom: -4.403
# Formation energy from raw total energies in eV per atom: 0.28
# Total magnetic moment in Bohr magnetons per cell: 0.0

# Ti2GaCuC (PBE, optimized geometry)
data_Ti2GaCuC
_chemical_formula_sum 'Ti4 Ga2 Cu2 C2'
_cell_length_a 3.299
_cell_length_b 3.299
_cell_length_c 12.304
_cell_angle_alpha 90.00
_cell_angle_beta 90.00
_cell_angle_gamma 90.00
_symmetry_space_group_name_H-M 'P 1'
_symmetry_Int_Tables_number 1
loop_
_symmetry_equiv_pos_as_xyz
'x,y,z'
loop_
_atom_site_label
_atom_site_type_symbol
_atom_site_fract_x
_atom_site_fract_y
_atom_site_fract_z
_atom_site_occupancy
Ti1 Ti 0.000 0.500 0.753 1
Ti2 Ti 0.000 0.500 0.082 1
Ti3 Ti 0.500 0.000 0.918 1
Ti4 Ti 0.500 0.000 0.247 1
Ga1 Ga 0.500 0.000 0.655 1
Ga2 Ga 0.000 0.500 0.345 1
Cu1 Cu 0.000 0.000 0.500 1
Cu2 Cu 0.500 0.500 0.500 1
C1 C 0.500 0.000 0.086 1
C2 C 0.000 0.500 0.914 1
# Energy in eV/atom: -6.778
# E_form in kJ per mole of atoms: -34
# Total magnetic moment in Bohr magnetons per cell: 0.0

# Pm6Nd3Ho2Sc (PBE, optimized geometry)
data_Pm6Nd3Ho2Sc
_chemical_formula_sum 'Pm6 Nd3 Ho2 Sc1'
_cell_length_a 6.262
_cell_length_b 6.262
_cell_length_c 11.905
_cell_angle_alpha 95.03
_cell_angle_beta 95.03
_cell_angle_gamma 120.02
_symmetry_space_group_name_H-M 'P 1'
_symmetry_Int_Tables_number 1
loop_
_symmetry_equiv_pos_as_xyz
'x,y,z'
loop_
_atom_site_label
_atom_site_type_symbol
_atom_site_fract_x
_atom_site_fract_y
_atom_site_fract_z
_atom_site_occupancy
Pm1 Pm 0.919 0.589 0.757 1
Pm2 Pm 0.751 0.751 0.243 1
Pm3 Pm 0.081 0.411 0.243 1
Pm4 Pm 0.589 0.919 0.757 1
Pm5 Pm 0.249 0.249 0.757 1
Pm6 Pm 0.411 0.081 0.243 1
Nd1 Nd 0.167 0.833 0.500 1
Nd2 Nd 0.833 0.167 0.500 1
Nd3 Nd 0.500 0.500 0.500 1
Ho1 Ho 0.333 0.667 0.000 1
Ho2 Ho 0.667 0.333 0.000 1
Sc1 Sc 0.000 0.000 0.000 1
# Energy in eV/atom: -4.829
# E_form in kJ per mole of atoms: 3
# Total magnetic moment in Bohr magnetons per cell: 0.0

# Ac2Tm2Sn (PBE, optimized geometry)
data_Ac2Tm2Sn
_chemical_formula_sum 'Ac2 Tm2 Sn1'
_cell_length_a 4.386
_cell_length_b 4.386
_cell_length_c 10.265
_cell_angle_alpha 102.34
_cell_angle_beta 102.34
_cell_angle_gamma 90.00
_symmetry_space_group_name_H-M 'P 1'
_symmetry_Int_Tables_number 1
loop_
_symmetry_equiv_pos_as_xyz
'x,y,z'
loop_
_atom_site_label
_atom_site_type_symbol
_atom_site_fract_x
_atom_site_fract_y
_atom_site_fract_z
_atom_site_occupancy
Ac1 Ac 0.411 0.411 0.822 1
Ac2 Ac 0.589 0.589 0.178 1
Tm1 Tm 0.750 0.250 0.500 1
Tm2 Tm 0.250 0.750 0.500 1
Sn1 Sn 0.000 0.000 0.000 1
# Energy in eV/atom: -4.127
# E_form in kJ per mole of atoms: 10
# Total magnetic moment in Bohr magnetons per cell: 0.0

# LaTlGeAu (PBE, optimized geometry)
data_LaTlGeAu
_chemical_formula_sum 'La1 Tl1 Ge1 Au1'
_cell_length_a 5.200
_cell_length_b 5.200
_cell_length_c 5.200
_cell_angle_alpha 60.00
_cell_angle_beta 60.00
_cell_angle_gamma 60.00
_symmetry_space_group_name_H-M 'P 1'
_symmetry_Int_Tables_number 1
loop_
_symmetry_equiv_pos_as_xyz
'x,y,z'
loop_
_atom_site_label
_atom_site_type_symbol
_atom_site_fract_x
_atom_site_fract_y
_atom_site_fract_z
_atom_site_occupancy
Tl1 Tl 0.500 0.500 0.500 1
Au1 Au 0.750 0.750 0.750 1
Ge1 Ge 0.250 0.250 0.250 1
La1 La 0.000 0.000 0.000 1
# Energy in eV/atom: -4.219
# E_form in kJ per mole of atoms: -41
# Total magnetic moment in Bohr magnetons per cell: 0.0

# Hf3ScSn (PBE, optimized geometry)
data_Hf3ScSn
_chemical_formula_sum 'Hf3 Sc1 Sn1'
_cell_length_a 5.007
_cell_length_b 5.007
_cell_length_c 5.007
_cell_angle_alpha 90.00
_cell_angle_beta 90.00
_cell_angle_gamma 90.00
_symmetry_space_group_name_H-M 'P 1'
_symmetry_Int_Tables_number 1
loop_
_symmetry_equiv_pos_as_xyz
'x,y,z'
loop_
_atom_site_label
_atom_site_type_symbol
_atom_site_fract_x
_atom_site_fract_y
_atom_site_fract_z
_atom_site_occupancy
Sc1 Sc 0.000 0.000 0.000 1
Hf1 Hf 0.000 0.500 0.000 1
Hf2 Hf 0.000 0.000 0.500 1
Hf3 Hf 0.500 0.000 0.000 1
Sn1 Sn 0.500 0.500 0.500 1
# Energy in eV/atom: -6.919
# E_form in kJ per mole of atoms: 108
# Total magnetic moment in Bohr magnetons per cell: 0.0
# Excess energy over the best structure of this formula in the dataset in kJ/mol of atoms: 106.3

# HoLuNiHg (PBE, optimized geometry)
data_HoLuNiHg
_chemical_formula_sum 'Ho1 Lu1 Ni1 Hg1'
_cell_length_a 4.983
_cell_length_b 4.983
_cell_length_c 4.983
_cell_angle_alpha 60.00
_cell_angle_beta 60.00
_cell_angle_gamma 60.00
_symmetry_space_group_name_H-M 'P 1'
_symmetry_Int_Tables_number 1
loop_
_symmetry_equiv_pos_as_xyz
'x,y,z'
loop_
_atom_site_label
_atom_site_type_symbol
_atom_site_fract_x
_atom_site_fract_y
_atom_site_fract_z
_atom_site_occupancy
Ni1 Ni 0.250 0.250 0.250 1
Lu1 Lu 0.500 0.500 0.500 1
Hg1 Hg 0.750 0.750 0.750 1
Ho1 Ho 0.000 0.000 0.000 1
# Energy in eV/atom: -4.178
# E_form in kJ per mole of atoms: -37
# Total magnetic moment in Bohr magnetons per cell: 0.0

# La2ZnBiRh (PBE, optimized geometry)
data_La2ZnBiRh
_chemical_formula_sum 'La2 Zn1 Bi1 Rh1'
_cell_length_a 5.485
_cell_length_b 5.485
_cell_length_c 4.868
_cell_angle_alpha 90.00
_cell_angle_beta 90.00
_cell_angle_gamma 90.00
_symmetry_space_group_name_H-M 'P 1'
_symmetry_Int_Tables_number 1
loop_
_symmetry_equiv_pos_as_xyz
'x,y,z'
loop_
_atom_site_label
_atom_site_type_symbol
_atom_site_fract_x
_atom_site_fract_y
_atom_site_fract_z
_atom_site_occupancy
Zn1 Zn 0.000 0.000 0.500 1
Rh1 Rh 0.000 0.000 0.000 1
Bi1 Bi 0.500 0.500 0.500 1
La1 La 0.000 0.500 0.000 1
La2 La 0.500 0.000 0.000 1
# Energy in eV/atom: -5.157
# E_form in kJ per mole of atoms: -66
# Total magnetic moment in Bohr magnetons per cell: 0.0
# Excess energy over the best structure of this formula in the dataset in kJ/mol of atoms: 0.0

# Co2Tc2Ge (PBE, optimized geometry)
data_Co2Tc2Ge
_chemical_formula_sum 'Co4 Tc4 Ge2'
_cell_length_a 5.801
_cell_length_b 5.801
_cell_length_c 3.920
_cell_angle_alpha 90.00
_cell_angle_beta 90.00
_cell_angle_gamma 90.00
_symmetry_space_group_name_H-M 'P 1'
_symmetry_Int_Tables_number 1
loop_
_symmetry_equiv_pos_as_xyz
'x,y,z'
loop_
_atom_site_label
_atom_site_type_symbol
_atom_site_fract_x
_atom_site_fract_y
_atom_site_fract_z
_atom_site_occupancy
Ge1 Ge 0.000 0.000 0.000 1
Ge2 Ge 0.500 0.500 0.000 1
Co1 Co 0.363 0.863 0.000 1
Co2 Co 0.863 0.637 0.000 1
Co3 Co 0.637 0.137 0.000 1
Co4 Co 0.137 0.363 0.000 1
Tc1 Tc 0.158 0.658 0.500 1
Tc2 Tc 0.658 0.842 0.500 1
Tc3 Tc 0.842 0.342 0.500 1
Tc4 Tc 0.342 0.158 0.500 1
# Energy in eV/atom: -7.798
# E_form in kJ per mole of atoms: 11
# Total magnetic moment in Bohr magnetons per cell: 0.0

# Pm2PrMg3 (PBE, optimized geometry)
data_Pm2PrMg3
_chemical_formula_sum 'Pm2 Pr1 Mg3'
_cell_length_a 3.879
_cell_length_b 3.879
_cell_length_c 11.669
_cell_angle_alpha 90.00
_cell_angle_beta 90.00
_cell_angle_gamma 90.00
_symmetry_space_group_name_H-M 'P 1'
_symmetry_Int_Tables_number 1
loop_
_symmetry_equiv_pos_as_xyz
'x,y,z'
loop_
_atom_site_label
_atom_site_type_symbol
_atom_site_fract_x
_atom_site_fract_y
_atom_site_fract_z
_atom_site_occupancy
Pm1 Pm 0.500 0.500 0.836 1
Pm2 Pm 0.500 0.500 0.164 1
Pr1 Pr 0.500 0.500 0.500 1
Mg1 Mg 0.000 0.000 0.000 1
Mg2 Mg 0.000 0.000 0.671 1
Mg3 Mg 0.000 0.000 0.329 1
# Energy in eV/atom: -3.287
# E_form in kJ per mole of atoms: -11
# Total magnetic moment in Bohr magnetons per cell: 0.0